TmPu2CuS5: optimized geometry, PBE.

The structure in CIF format:
```
data_TmPu2CuS5
_cell_length_a 3.8204
_cell_length_b 16.3029
_cell_length_c 11.6613
_cell_angle_alpha 90.00
_cell_angle_beta 90.00
_cell_angle_gamma 90.00
_symmetry_space_group_name_H-M 'C m c 21'
_symmetry_Int_Tables_number 36
loop_
_symmetry_equiv_pos_as_xyz
'x,y,z'
'-x,-y,z+1/2'
'-x,y,z'
'x,-y,z+1/2'
'x+1/2,y+1/2,z'
'-x+1/2,-y+1/2,z+1/2'
'-x+1/2,y+1/2,z'
'x+1/2,-y+1/2,z+1/2'
loop_
_atom_site_label
_atom_site_fract_x
_atom_site_fract_y
_atom_site_fract_z
Tm1 0.0000 0.1826 0.0000
Pu1 0.0000 0.1098 0.3203
Pu2 0.0000 0.1162 0.6664
Cu1 0.0000 0.4473 0.3990
S1 0.0000 0.0162 0.9930
S2 0.0000 0.3030 0.6610
S3 0.0000 0.3119 0.3338
S4 0.0000 0.3463 0.9922
S5 0.0000 0.4956 0.7237
```

Output
Density of states at the Fermi level (states/eV/f.u.): 17.411
Formation energy (no corrections) (eV per atom): -1.5290



Sm3InO6: optimized geometry, PBE.

The structure in CIF format:
```
data_Sm3InO6
_cell_length_a 9.8310
_cell_length_b 9.8310
_cell_length_c 11.3545
_cell_angle_alpha 90.00
_cell_angle_beta 90.00
_cell_angle_gamma 120.00
_symmetry_space_group_name_H-M 'R -3'
_symmetry_Int_Tables_number 148
_symmetry_space_group_name_Hall '-R 3'
loop_
_atom_site_label
_atom_site_fract_x
_atom_site_fract_y
_atom_site_fract_z
Sm1 0.0403 0.2664 0.2064
In1 0.0000 0.0000 0.0000
In2 0.0000 0.0000 0.5000
O1 0.0280 0.1858 0.8772
O2 0.0282 0.2125 0.4040
```

Output
Density of states at the Fermi level (states/eV/f.u.): 0.000
Energy relative to the lowest polymorph listed for this composition (eV/atom): 0.000
Formation energy (no corrections) (eV per atom): -2.9753



BaCuTc: optimized geometry, PBE.

The structure in CIF format:
```
data_BaCuTc
_cell_length_a 4.2696
_cell_length_b 4.2696
_cell_length_c 4.9688
_cell_angle_alpha 90.00
_cell_angle_beta 90.00
_cell_angle_gamma 120.00
_symmetry_space_group_name_H-M 'P -6 m 2'
_symmetry_Int_Tables_number 187
_symmetry_space_group_name_Hall 'P -6 2'
loop_
_atom_site_label
_atom_site_fract_x
_atom_site_fract_y
_atom_site_fract_z
Ba1 0.0000 0.0000 0.0000
Cu1 0.6667 0.3333 0.5000
Tc1 0.3333 0.6667 0.5000
```

Output
Energy relative to the elements (eV/f.u.): 2.2
Density of states at the Fermi level (states/eV/f.u.): 2.535
Energy relative to the lowest polymorph listed for this composition (eV/atom): 0.000



FePd12Au6: optimized geometry, PBE.

The structure in CIF format:
```
data_FePd12Au6
_cell_length_a 9.7492
_cell_length_b 9.7492
_cell_length_c 11.4863
_cell_angle_alpha 90.00
_cell_angle_beta 90.00
_cell_angle_gamma 120.00
_symmetry_space_group_name_H-M 'R -3'
_symmetry_Int_Tables_number 148
_symmetry_space_group_name_Hall '-R 3'
loop_
_atom_site_label
_atom_site_fract_x
_atom_site_fract_y
_atom_site_fract_z
Fe1 0.0000 0.0000 0.0000
Pd1 0.0409 0.1815 0.8146
Pd2 0.0626 0.8595 0.4069
Au1 0.0279 0.4364 0.7101
```

Output
Energy relative to the elements (eV/f.u.): 0.7
Density of states at the Fermi level (states/eV/f.u.): 20.000



Pr2GaSb4: optimized geometry, PBE.

The structure in CIF format:
```
data_Pr2GaSb4
_cell_length_a 4.3961
_cell_length_b 4.3961
_cell_length_c 10.5649
_cell_angle_alpha 90.00
_cell_angle_beta 90.00
_cell_angle_gamma 90.00
_symmetry_space_group_name_H-M 'P -4 m 2'
_symmetry_Int_Tables_number 115
loop_
_symmetry_equiv_pos_as_xyz
'x,y,z'
'y,-x,-z'
'-x,-y,z'
'-y,x,-z'
'-x,y,z'
'-y,-x,-z'
'x,-y,z'
'y,x,-z'
loop_
_atom_site_label
_atom_site_fract_x
_atom_site_fract_y
_atom_site_fract_z
Pr1 0.0000 0.5000 0.2368
Ga1 0.0000 0.0000 0.5000
Sb1 0.0000 0.0000 0.0000
Sb2 0.0000 0.5000 0.6583
Sb3 0.5000 0.5000 0.0000
```

Output
Density of states at the Fermi level (states/eV/f.u.): 2.201
Formation energy (no corrections) (eV per atom): -0.6946



Al2InCoH: optimized geometry, PBE.

The structure in CIF format:
```
data_Al2InCoH
_cell_length_a 5.2381
_cell_length_b 5.2381
_cell_length_c 3.3732
_cell_angle_alpha 90.00
_cell_angle_beta 90.00
_cell_angle_gamma 90.00
_symmetry_space_group_name_H-M 'P 4/m m m'
_symmetry_Int_Tables_number 123
_symmetry_space_group_name_Hall '-P 4 2'
loop_
_atom_site_label
_atom_site_fract_x
_atom_site_fract_y
_atom_site_fract_z
Al1 0.0000 0.5000 0.0000
In1 0.0000 0.0000 0.0000
Co1 0.5000 0.5000 0.5000
H1 0.0000 0.0000 0.5000
```

Output
Density of states at the Fermi level (states/eV/f.u.): 8.371



CdPd2Pt2Au2: optimized geometry, PBE.

The structure in CIF format:
```
data_CdPd2Pt2Au2
_cell_length_a 8.9352
_cell_length_b 2.7955
_cell_length_c 10.0343
_cell_angle_alpha 90.00
_cell_angle_beta 102.73
_cell_angle_gamma 90.00
_symmetry_space_group_name_H-M 'C 1 2/m 1'
_symmetry_Int_Tables_number 12
loop_
_symmetry_equiv_pos_as_xyz
'x,y,z'
'-x,-y,-z'
'-x,y,-z'
'x,-y,z'
'x+1/2,y+1/2,z'
'-x+1/2,-y+1/2,-z'
'-x+1/2,y+1/2,-z'
'x+1/2,-y+1/2,z'
loop_
_atom_site_label
_atom_site_fract_x
_atom_site_fract_y
_atom_site_fract_z
Cd1 0.0000 0.0000 0.0000
Pd1 0.2355 0.0000 0.8630
Pt1 0.1542 0.0000 0.5682
Au1 0.0719 0.0000 0.2863
```

Output
Energy relative to the elements (eV/f.u.): 0.0
Density of states at the Fermi level (states/eV/f.u.): 5.236



AcMgTlPt: optimized geometry, PBE.

The structure in CIF format:
```
data_AcMgTlPt
_cell_length_a 7.4417
_cell_length_b 7.4417
_cell_length_c 7.4417
_cell_angle_alpha 90.00
_cell_angle_beta 90.00
_cell_angle_gamma 90.00
_symmetry_space_group_name_H-M 'F -4 3 m'
_symmetry_Int_Tables_number 216
_symmetry_space_group_name_Hall 'F -4 2 3'
loop_
_atom_site_label
_atom_site_fract_x
_atom_site_fract_y
_atom_site_fract_z
Ac1 0.0000 0.0000 0.0000
Mg1 0.0000 0.0000 0.5000
Tl1 0.2500 0.2500 0.2500
Pt1 0.2500 0.2500 0.7500
```

Output
Energy relative to the elements (eV/f.u.): -1.9
Density of states at the Fermi level (states/eV/f.u.): 2.248



Tb8Sb3Te4Pb: optimized geometry, PBE.

The structure in CIF format:
```
data_Tb8Sb3Te4Pb
_cell_length_a 8.8134
_cell_length_b 8.8134
_cell_length_c 21.5676
_cell_angle_alpha 90.00
_cell_angle_beta 90.00
_cell_angle_gamma 120.00
_symmetry_space_group_name_H-M 'R -3 m'
_symmetry_Int_Tables_number 166
_symmetry_space_group_name_Hall '-R 3 2"'
loop_
_atom_site_label
_atom_site_fract_x
_atom_site_fract_y
_atom_site_fract_z
Tb1 0.0000 0.0000 0.2463
Tb2 0.0005 0.5002 0.2466
Sb1 0.0000 0.5000 0.5000
Te1 0.0000 0.0000 0.0000
Te2 0.0000 0.5000 0.0000
Pb1 0.0000 0.0000 0.5000
```

Output
Density of states at the Fermi level (states/eV/f.u.): 6.296
Formation energy (no corrections) (eV per atom): -1.2010



Na4Sm2I9: optimized geometry, PBE.

The structure in CIF format:
```
data_Na4Sm2I9
_cell_length_a 8.0929
_cell_length_b 8.0933
_cell_length_c 21.6020
_cell_angle_alpha 89.98
_cell_angle_beta 89.99
_cell_angle_gamma 60.01
_symmetry_space_group_name_H-M 'P -1'
_symmetry_Int_Tables_number 2
loop_
_symmetry_equiv_pos_as_xyz
'x,y,z'
'-x,-y,-z'
loop_
_atom_site_label
_atom_site_fract_x
_atom_site_fract_y
_atom_site_fract_z
Na1 0.1664 0.1661 0.3293
Na2 0.1664 0.1670 0.0153
Na3 0.1666 0.1669 0.5153
Na4 0.1671 0.1671 0.8297
Sm1 0.4996 0.4998 0.1636
Sm2 0.4999 0.4997 0.3365
I1 0.1635 0.8158 0.0857
I2 0.1636 0.5208 0.5858
I3 0.1826 0.5004 0.2501
I4 0.1839 0.8172 0.7500
I5 0.1845 0.8360 0.4144
I6 0.1846 0.4798 0.9143
I7 0.4792 0.1837 0.4142
I8 0.4799 0.8365 0.9143
I9 0.5000 0.1837 0.7500
```

Output
Formation energy (no corrections) (eV per atom): -1.2782



La2CuRe: optimized geometry, PBE.

The structure in CIF format:
```
data_La2CuRe
_cell_length_a 6.9710
_cell_length_b 6.9710
_cell_length_c 6.9710
_cell_angle_alpha 90.00
_cell_angle_beta 90.00
_cell_angle_gamma 90.00
_symmetry_space_group_name_H-M 'F -4 3 m'
_symmetry_Int_Tables_number 216
_symmetry_space_group_name_Hall 'F -4 2 3'
loop_
_atom_site_label
_atom_site_fract_x
_atom_site_fract_y
_atom_site_fract_z
La1 0.0000 0.0000 0.0000
La2 0.2500 0.2500 0.2500
Cu1 0.0000 0.0000 0.5000
Re1 0.2500 0.2500 0.7500
```

Output
Energy relative to the elements (eV/f.u.): 1.8
Density of states at the Fermi level (states/eV/f.u.): 5.519
Energy relative to the lowest polymorph listed for this composition (eV/atom): 0.291



AcBe5P4: optimized geometry, PBE.

The structure in CIF format:
```
data_AcBe5P4
_cell_length_a 7.2006
_cell_length_b 10.8269
_cell_length_c 3.7564
_cell_angle_alpha 90.00
_cell_angle_beta 90.00
_cell_angle_gamma 90.00
_symmetry_space_group_name_H-M 'P m m n'
_symmetry_Int_Tables_number 59
loop_
_symmetry_equiv_pos_as_xyz
'x,y,z'
'-x,-y,-z'
'-x+1/2,-y+1/2,z'
'x+1/2,y+1/2,-z'
'x+1/2,-y,-z'
'-x+1/2,y,z'
'-x,y+1/2,-z'
'x,-y+1/2,z'
loop_
_atom_site_label
_atom_site_fract_x
_atom_site_fract_y
_atom_site_fract_z
Ac1 0.2500 0.2500 0.2482
Be1 0.0340 0.5565 0.2499
Be2 0.2500 0.7500 0.7522
P1 0.0749 0.7500 0.2521
P2 0.2500 0.5134 0.7496
```

Output
Energy relative to the elements (eV/f.u.): -2.1
Density of states at the Fermi level (states/eV/f.u.): 1.095



For each record above, in turn, the calculated electronic total energy values are -286.5; -458.4; -14.2; -269.3; -33.9; -15.8; -59.8; -63.9; -254.7; -95.7; -98.6; -93.0 eV for the cell shown.
For each record above, in turn, the calculated calculated volume values are 726.3; 950.4; 78.4; 945.5; 204.2; 92.6; 244.5; 412.1; 1450.8; 1225.4; 338.8; 292.8 Å³ per cell.